Record 1
DFT (PBE) results for a relaxed ReAu3 crystal.

Results
Energy relative to the elements: 0.637 eV/atom
V: 139 Å³ per cell

a b c (Å): 4.7616 4.8958 5.9547
angles (deg): 90.00 90.00 90.00
Closest atoms and distances in Å follow each position.
Element x y z (fractional)
Au (0.0000, 0.8284, 0.7519)  8 Au 2.81-3.00, 4 Re 2.84-2.91
Au (0.0000, 0.3433, 0.5000)  8 Au 2.81-2.93, 4 Re 2.89-2.98
Au (0.0000, 0.8284, 0.2481)  8 Au 2.81-3.00, 4 Re 2.84-2.91
Au (0.5000, 0.6567, 0.0000)  8 Au 2.81-2.93, 4 Re 2.89-2.98
Au (0.5000, 0.1716, 0.2519)  8 Au 2.81-3.00, 4 Re 2.84-2.91
Au (0.5000, 0.1716, 0.7481)  8 Au 2.81-3.00, 4 Re 2.84-2.91
Re (0.5000, 0.6762, 0.5000)  12 Au 2.84-2.98
Re (0.0000, 0.3238, 0.0000)  12 Au 2.84-2.98


Record 2
DFT (PBE) results for a relaxed TlTcMo2 crystal.

Results
Energy relative to the elements: 0.596 eV/atom
V: 68 Å³ per cell

a b c (Å): 4.5775 4.5775 4.5775
angles (deg): 60.00 60.00 60.00
Closest atoms and distances in Å follow each position.
Element x y z (fractional)
Mo (0.2500, 0.2500, 0.2500)  4 Mo 2.80, 4 Tc 2.80
Mo (0.0000, 0.0000, 0.0000)  4 Mo 2.80, 4 Tl 2.80
Tl (0.7500, 0.7500, 0.7500)  4 Tc 2.80, 4 Mo 2.80
Tc (0.5000, 0.5000, 0.5000)  4 Tl 2.80, 4 Mo 2.80


Record 3
DFT (PBE) results for a relaxed CeCrSb crystal.

Results
V: 152 Å³ per cell
Raw formation energy: -0.204 eV per atom

a b c (Å): 4.4974 5.7726 6.4470
angles (deg): 98.93 90.00 112.93
Closest atoms and distances in Å follow each position.
Element x y z (fractional)
Ce (0.1168, 0.2337, 0.7601)  4 Cr 3.01-3.21, 5 Sb 3.10-3.31
Ce (0.8832, 0.7663, 0.2399)  4 Cr 3.01-3.21, 5 Sb 3.10-3.31
Cr (0.5816, 0.1632, 0.4458)  1 Cr 1.98
Cr (0.4184, 0.8368, 0.5542)  1 Cr 1.98
Sb (0.1772, 0.3543, 0.2727)  3 Cr 2.78-2.88, 1 Ce 3.10
Sb (0.8228, 0.6457, 0.7273)  3 Cr 2.78-2.88, 1 Ce 3.10


Record 4
DFT (PBE) results for a relaxed AlTeRh2 crystal.

Results
V: 67 Å³ per cell
Raw formation energy: -0.363 eV per atom

a b c (Å): 4.7683 3.2759 4.3048
angles (deg): 90.00 90.00 90.00
Closest atoms and distances in Å follow each position.
Element x y z (fractional)
Rh (0.0000, 0.8748, 0.9950)  2 Al 2.59, 4 Te 2.67-2.74
Rh (0.5000, 0.3750, 0.2432)  2 Te 2.63, 4 Al 2.65-2.76
Al (0.5000, 0.8751, 0.7580)  6 Rh 2.59-2.76
Te (0.0000, 0.3751, 0.5038)  6 Rh 2.63-2.74


Record 5
DFT (PBE) results for a relaxed In3C5 crystal.

Results
Energy relative to the elements: 2.093 eV/atom
V: 133 Å³ per cell

a b c (Å): 7.3000 7.3000 3.0492
angles (deg): 90.00 90.00 125.25
Closest atoms and distances in Å follow each position.
Element x y z (fractional)
C (0.8966, 0.8966, 0.5000)  1 C 1.39
C (0.5000, 0.0000, 0.0000)  4 In 2.27
C (0.1034, 0.1034, 0.5000)  1 C 1.39
C (0.0000, 0.0000, 0.0000)  4 C 1.68
C (0.0000, 0.5000, 0.0000)  4 In 2.27
In (0.5000, 0.5000, 0.0000)  2 In 3.05, 6 C 3.07-3.36
In (0.2473, 0.7527, 0.5000)  4 C 2.27
In (0.7527, 0.2473, 0.5000)  4 C 2.27


Record 6
DFT (PBE) results for a relaxed CdSnHg3 crystal.

Results
Energy relative to the elements: 0.041 eV/atom
V: 517 Å³ per cell

a b c (Å): 3.6502 9.1783 15.4334
angles (deg): 90.00 90.00 90.00
Closest atoms and distances in Å follow each position.
Element x y z (fractional)
Hg (0.2500, 0.5723, 0.3695)  3 Cd 3.05-3.06, 1 Sn 3.14, 2 Hg 3.32
Hg (0.2500, 0.1983, 0.7476)  1 Cd 3.00, 4 Sn 3.19-3.22, 3 Hg 3.22-3.32
Hg (0.2500, 0.0723, 0.1305)  3 Cd 3.05-3.06, 1 Sn 3.14, 2 Hg 3.32
Hg (0.7500, 0.8643, 0.4575)  2 Cd 3.01, 3 Sn 3.17-3.30, 3 Hg 3.22-3.35
Hg (0.2500, 0.6357, 0.9575)  2 Cd 3.01, 3 Sn 3.17-3.30, 3 Hg 3.22-3.35
Hg (0.2500, 0.6983, 0.7524)  1 Cd 3.00, 4 Sn 3.19-3.22, 3 Hg 3.22-3.32
Hg (0.7500, 0.4277, 0.6305)  3 Cd 3.05-3.06, 1 Sn 3.14, 2 Hg 3.32
Hg (0.7500, 0.9277, 0.8695)  3 Cd 3.05-3.06, 1 Sn 3.14, 2 Hg 3.32
Hg (0.7500, 0.3643, 0.0425)  2 Cd 3.01, 3 Sn 3.17-3.30, 3 Hg 3.22-3.35
Hg (0.2500, 0.1357, 0.5425)  2 Cd 3.01, 3 Sn 3.17-3.30, 3 Hg 3.22-3.35
Hg (0.7500, 0.3017, 0.2476)  1 Cd 3.00, 4 Sn 3.19-3.22, 3 Hg 3.22-3.32
Hg (0.7500, 0.8017, 0.2524)  1 Cd 3.00, 4 Sn 3.19-3.22, 3 Hg 3.22-3.32
Sn (0.7500, 0.4440, 0.8337)  8 Hg 3.14-3.30
Sn (0.2500, 0.5560, 0.1663)  8 Hg 3.14-3.30
Sn (0.2500, 0.0560, 0.3337)  8 Hg 3.14-3.30
Sn (0.7500, 0.9440, 0.6663)  8 Hg 3.14-3.30
Cd (0.7500, 0.8332, 0.0587)  6 Hg 3.00-3.06
Cd (0.2500, 0.6668, 0.5587)  6 Hg 3.00-3.06
Cd (0.7500, 0.3332, 0.4413)  6 Hg 3.00-3.06
Cd (0.2500, 0.1668, 0.9413)  6 Hg 3.00-3.06


Record 7
DFT (PBE) results for a relaxed Ti6Bi2HN crystal.

Results
Total DFT energy (no corrections): -7.148 eV/atom
V: 152 Å³ per cell

a b c (Å): 5.8866 5.8866 6.0514
angles (deg): 119.09 119.09 89.92
Closest atoms and distances in Å follow each position.
Element x y z (fractional)
H (0.5002, 0.5006, 0.0003)  6 Ti 2.08-2.18
Ti (0.2517, 0.2523, 0.5045)  1 H 2.18, 1 N 2.22
Ti (0.7498, 0.2505, 0.9997)  1 H 2.08, 1 N 2.08
Ti (0.7501, 0.7506, 0.9999)  1 N 2.08, 1 H 2.08
Ti (0.7480, 0.7485, 0.4950)  1 H 2.17, 1 N 2.22
Ti (0.2500, 0.7502, 0.9997)  1 H 2.08, 1 N 2.08
Ti (0.2496, 0.2501, 0.9995)  1 N 2.08, 1 H 2.08
Bi (0.7495, 0.2508, 0.4997)  12 Ti 2.94-3.03
Bi (0.2503, 0.7500, 0.4997)  12 Ti 2.94-3.03
N (0.9999, 0.0004, 0.9997)  6 Ti 2.08-2.22


Record 8
DFT (PBE) results for a relaxed LaNd6Ag2 crystal.

Results
Energy relative to the elements: -0.103 eV/atom
V: 285 Å³ per cell

a b c (Å): 3.7947 6.7440 12.0295
angles (deg): 75.31 80.93 73.66
Closest atoms and distances in Å follow each position.
Element x y z (fractional)
Nd (0.3132, 0.7857, 0.5880)  2 Ag 3.31, 8 Nd 3.52-3.68
Nd (0.6850, 0.5059, 0.1242)  2 Ag 3.24, 5 Nd 3.52-3.62
Nd (0.0231, 0.2884, 0.6654)  2 Ag 3.22, 1 Nd 3.57
Nd (0.3150, 0.4941, 0.8758)  2 Ag 3.24, 5 Nd 3.52-3.62
Nd (0.9769, 0.7116, 0.3346)  2 Ag 3.22, 1 Nd 3.57
Nd (0.6868, 0.2143, 0.4120)  2 Ag 3.31, 8 Nd 3.52-3.68
La (0.0000, 0.0000, 0.0000)  4 Ag 3.27
Ag (0.6506, 0.9061, 0.7927)  6 Nd 3.22-3.31, 2 La 3.27
Ag (0.3494, 0.0939, 0.2073)  6 Nd 3.22-3.31, 2 La 3.27


Record 9
DFT (PBE) results for a relaxed ScFeHg2 crystal.

Results
Energy relative to the elements: 0.095 eV/atom
V: 77 Å³ per cell

a b c (Å): 5.6849 5.6849 4.9190
angles (deg): 64.17 64.17 33.11
Closest atoms and distances in Å follow each position.
Element x y z (fractional)
Fe (0.2486, 0.2486, 0.2517)  2 Sc 2.74, 6 Hg 2.77-2.95
Sc (0.5214, 0.5214, 0.4782)  2 Fe 2.74, 4 Hg 2.97
Hg (0.9807, 0.9807, 0.0188)  2 Fe 2.77, 4 Sc 2.97, 2 Hg 3.07
Hg (0.7494, 0.7494, 0.7512)  4 Fe 2.94-2.95, 4 Hg 3.07-3.24, 2 Sc 3.10


Record 10
DFT (PBE) results for a relaxed Tb2Zn2SbPd5 crystal.

Results
V: 367 Å³ per cell
Raw formation energy: -0.700 eV per atom

a b c (Å): 3.9055 9.6961 9.6961
angles (deg): 90.00 90.00 90.00
Closest atoms and distances in Å follow each position.
Element x y z (fractional)
Pd (0.5000, 0.4309, 0.2898)  2 Zn 2.62, 1 Pd 2.89, 2 Sb 2.90
Pd (0.5000, 0.9309, 0.2102)  2 Zn 2.62, 1 Pd 2.89, 2 Sb 2.90
Pd (0.5000, 0.7898, 0.9309)  2 Zn 2.62, 1 Pd 2.89, 2 Sb 2.90
Pd (0.5000, 0.2102, 0.0691)  2 Zn 2.62, 1 Pd 2.89, 2 Sb 2.90
Pd (0.5000, 0.5000, 0.0000)  4 Zn 2.52
Pd (0.5000, 0.0000, 0.5000)  4 Zn 2.52
Pd (0.5000, 0.5691, 0.7102)  2 Zn 2.62, 1 Pd 2.89, 2 Sb 2.90
Pd (0.5000, 0.0691, 0.7898)  2 Zn 2.62, 1 Pd 2.89, 2 Sb 2.90
Pd (0.5000, 0.2898, 0.5691)  2 Zn 2.62, 1 Pd 2.89, 2 Sb 2.90
Pd (0.5000, 0.7102, 0.4309)  2 Zn 2.62, 1 Pd 2.89, 2 Sb 2.90
Tb (0.0000, 0.3209, 0.8209)  3 Zn 2.80-2.93
Tb (0.0000, 0.6791, 0.1791)  3 Zn 2.80-2.93
Tb (0.0000, 0.1791, 0.3209)  3 Zn 2.80-2.93
Tb (0.0000, 0.8209, 0.6791)  3 Zn 2.80-2.93
Zn (0.0000, 0.8833, 0.3833)  6 Pd 2.52-2.62, 1 Tb 2.80
Zn (0.0000, 0.3833, 0.1167)  6 Pd 2.52-2.62, 1 Tb 2.80
Zn (0.0000, 0.6167, 0.8833)  6 Pd 2.52-2.62, 1 Tb 2.80
Zn (0.0000, 0.1167, 0.6167)  6 Pd 2.52-2.62, 1 Tb 2.80
Sb (0.0000, 0.5000, 0.5000)  8 Pd 2.90
Sb (0.0000, 0.0000, 0.0000)  8 Pd 2.90


Record 11
DFT (PBE) results for a relaxed Ac6AsIr3 crystal.

Results
Energy relative to the elements: -0.742 eV/atom
V: 666 Å³ per cell

a b c (Å): 4.4184 12.5948 12.6208
angles (deg): 108.57 90.00 90.00
Closest atoms and distances in Å follow each position.
Element x y z (fractional)
Ir (0.7500, 0.4447, 0.8351)  6 Ac 2.95-3.08
Ir (0.2500, 0.3075, 0.5034)  6 Ac 2.96-3.13
Ir (0.2500, 0.8442, 0.9181)  6 Ac 2.92-3.11
Ir (0.7500, 0.6925, 0.4966)  6 Ac 2.96-3.13
Ir (0.2500, 0.5553, 0.1649)  6 Ac 2.95-3.08
Ir (0.7500, 0.1558, 0.0819)  6 Ac 2.92-3.11
Ac (0.7500, 0.4619, 0.6072)  3 Ir 2.95-2.96
Ac (0.2500, 0.8743, 0.5388)  2 Ir 3.10, 3 As 3.27-3.28
Ac (0.2500, 0.5381, 0.3928)  3 Ir 2.95-2.96
Ac (0.7500, 0.7882, 0.7583)  3 Ir 2.92-3.13
Ac (0.7500, 0.7216, 0.2622)  3 Ir 3.02-3.10
Ac (0.2500, 0.0760, 0.9076)  3 Ir 2.96-3.05
Ac (0.2500, 0.6062, 0.9414)  4 Ir 3.01-3.11
Ac (0.2500, 0.2784, 0.7378)  3 Ir 3.02-3.10
Ac (0.7500, 0.1257, 0.4612)  2 Ir 3.10, 3 As 3.27-3.28
Ac (0.7500, 0.3938, 0.0586)  4 Ir 3.01-3.11
Ac (0.7500, 0.9240, 0.0924)  3 Ir 2.96-3.05
Ac (0.2500, 0.2118, 0.2417)  3 Ir 2.92-3.13
As (0.7500, 0.0524, 0.6876)  7 Ac 3.27-3.50
As (0.2500, 0.9476, 0.3124)  7 Ac 3.27-3.50


no.,calculated density (g cm⁻³)
1,18.59
2,12.10
3,6.86
4,8.90
5,5.06
6,10.70
7,7.85
8,7.12
9,10.78
10,9.97
11,10.04